Below is a relaxed KCd2In2 crystal, with properties calculated at the PBE level.

Geometry as extended XYZ:
```
5
Lattice="-2.399 2.399 6.532 2.399 -2.399 6.532 2.399 2.399 -6.532" Properties=species:S:1:pos:R:3 pbc="T T T"
K 0.000 0.000 0.000
Cd 0.000 0.000 5.110
Cd 0.000 0.000 7.955
In 2.399 0.000 3.266
In 0.000 2.399 3.266
```

Computed properties:
Energy above the most stable polymorph in this dataset = 0.003 eV per atom
Total magnetic moment = 0.00 μB per cell
SG = No. 139
N(E_F) = 2.64 states/eV/f.u.